(1)
First-principles (GGA-PBEsol) data for a geometry-optimized Li2FeSi3O8 structure, as listed in Alexandria.

abc: 6.515 6.764 8.053
angles: 90.00 90.00 109.65
Last column: magnetic moment on the atom in μB.
Atoms (fractional coordinates):
O  0.610  0.887  0.662  0.00
O  0.217  0.490  0.687  0.07
O  0.003  0.101  0.777  0.00
O  0.783  0.510  0.187  0.07
O  0.997  0.899  0.277  0.00
O  0.227  0.295  0.377  0.06
O  0.390  0.113  0.162  0.00
O  0.412  0.263  0.855  0.01
O  0.588  0.737  0.355  0.01
O  0.773  0.705  0.877  0.06
O  0.763  0.158  0.407  0.07
O  0.665  0.051  0.964  0.00
O  0.873  0.599  0.519  0.06
O  0.237  0.842  0.907  0.07
O  0.335  0.949  0.464  0.00
O  0.127  0.401  0.019  0.06
Si  0.817  0.675  0.337  0.01
Si  0.587  0.944  0.467  0.01
Si  0.413  0.056  0.967  0.01
Si  0.183  0.325  0.837  0.01
Si  0.768  0.932  0.825  0.01
Si  0.232  0.068  0.325  0.01
Fe  0.986  0.619  0.999  3.53
Fe  0.014  0.381  0.499  3.53
Li  0.374  0.473  0.196  0.00
Li  0.626  0.527  0.696  0.00
Li  0.815  0.235  0.173  0.00
Li  0.185  0.765  0.673  0.00

Results
Calculated volume (Å³/atom): 11.94
Formation energy from raw total energies (eV/atom): -2.35
Excess energy over the best structure of this formula in the dataset (meV/atom): 0

(2)
First-principles (GGA-PBEsol) data for a geometry-optimized Li2FeSiO5 structure, as listed in Alexandria.

abc: 4.366 6.335 6.334
angles: 90.00 90.00 90.00
Last column: magnetic moment on the atom in μB.
Atoms (fractional coordinates):
Si  0.500  0.000  0.000  0.03
Si  0.500  0.500  0.500  0.03
Li  0.000  0.750  0.750  0.00
Li  0.000  0.250  0.250  0.00
Li  0.000  0.250  0.750  0.00
Li  0.000  0.750  0.250  0.00
Fe  0.383  0.500  0.000  3.13
Fe  0.617  0.000  0.500  3.13
O  0.725  0.000  0.206  0.06
O  0.223  0.000  0.500  0.40
O  0.275  0.500  0.706  0.06
O  0.274  0.206  0.000  0.06
O  0.726  0.294  0.500  0.06
O  0.726  0.706  0.500  0.06
O  0.725  0.000  0.794  0.06
O  0.777  0.500  0.000  0.40
O  0.275  0.500  0.294  0.06
O  0.274  0.794  0.000  0.06

Results
Calculated volume (Å³/atom): 9.73
Formation energy from raw total energies (eV/atom): -2.03

(3)
First-principles (GGA-PBEsol) data for a geometry-optimized LiFeSiO4 structure, as listed in Alexandria.

abc: 5.708 7.409 16.114
angles: 90.00 90.00 90.00
Last column: magnetic moment on the atom in μB.
Atoms (fractional coordinates):
O  0.855  0.127  0.702  0.04
O  0.855  0.373  0.202  0.04
O  0.432  0.672  0.552  0.23
O  0.344  0.982  0.442  0.24
O  0.068  0.328  0.052  0.23
O  0.844  0.518  0.558  0.24
O  0.532  0.844  0.880  0.19
O  0.068  0.172  0.552  0.23
O  0.145  0.873  0.298  0.04
O  0.645  0.627  0.702  0.04
O  0.968  0.344  0.880  0.19
O  0.145  0.627  0.798  0.04
O  0.932  0.828  0.448  0.23
O  0.656  0.482  0.058  0.24
O  0.344  0.518  0.942  0.24
O  0.355  0.373  0.298  0.04
O  0.432  0.828  0.052  0.23
O  0.568  0.172  0.948  0.23
O  0.932  0.672  0.948  0.23
O  0.968  0.156  0.380  0.19
O  0.645  0.873  0.202  0.04
O  0.532  0.656  0.380  0.19
O  0.656  0.018  0.558  0.24
O  0.468  0.156  0.120  0.19
O  0.468  0.344  0.620  0.19
O  0.032  0.844  0.620  0.19
O  0.568  0.328  0.448  0.23
O  0.355  0.127  0.798  0.04
O  0.032  0.656  0.120  0.19
O  0.844  0.982  0.058  0.24
O  0.156  0.482  0.442  0.24
O  0.156  0.018  0.942  0.24
Fe  0.592  0.818  0.468  3.97
Fe  0.092  0.682  0.532  3.97
Fe  0.408  0.182  0.532  3.97
Fe  0.908  0.182  0.968  3.97
Fe  0.408  0.318  0.032  3.97
Fe  0.592  0.682  0.968  3.97
Fe  0.092  0.818  0.032  3.97
Fe  0.908  0.318  0.468  3.97
Li  0.936  0.772  0.225  0.00
Li  0.436  0.728  0.775  0.00
Li  0.064  0.272  0.275  0.00
Li  0.436  0.772  0.275  0.00
Li  0.064  0.228  0.775  0.00
Li  0.564  0.228  0.725  0.00
Li  0.936  0.728  0.725  0.00
Li  0.564  0.272  0.225  0.00
Si  0.598  0.959  0.114  0.02
Si  0.402  0.041  0.886  0.02
Si  0.098  0.541  0.886  0.02
Si  0.598  0.541  0.614  0.02
Si  0.902  0.459  0.114  0.02
Si  0.098  0.959  0.386  0.02
Si  0.902  0.041  0.614  0.02
Si  0.402  0.459  0.386  0.02

Results
Calculated volume (Å³/atom): 12.17
Formation energy from raw total energies (eV/atom): -2.01
Excess energy over the best structure of this formula in the dataset (meV/atom): 89

(4)
First-principles (GGA-PBEsol) data for a geometry-optimized Li2FeSiO4 structure, as listed in Alexandria.

abc: 4.370 4.370 5.271
angles: 114.49 114.49 90.00
Last column: magnetic moment on the atom in μB.
Atoms (fractional coordinates):
Li  0.750  0.250  0.500  0.00
Li  0.250  0.750  0.500  0.00
O  0.671  0.107  0.778  0.07
O  0.329  0.329  0.222  0.07
O  0.107  0.671  0.778  0.07
O  0.893  0.893  0.222  0.07
Fe  0.500  0.500  0.000  3.45
Si  0.000  0.000  0.000  0.01

Results
Calculated volume (Å³/atom): 10.19
Formation energy from raw total energies (eV/atom): -2.09
Excess energy over the best structure of this formula in the dataset (meV/atom): 9

(5)
First-principles (GGA-PBEsol) data for a geometry-optimized LiFeSiO4 structure, as listed in Alexandria.

abc: 8.193 8.639 8.639
angles: 120.00 90.00 90.00
Last column: magnetic moment on the atom in μB.
Atoms (fractional coordinates):
O  0.805  0.416  0.276  0.18
O  0.512  0.558  0.468  0.20
O  0.305  0.140  0.416  0.18
O  0.991  0.139  0.230  0.16
O  0.512  0.910  0.442  0.20
O  0.305  0.276  0.860  0.18
O  0.120  0.799  0.578  0.18
O  0.012  0.090  0.558  0.20
O  0.620  0.201  0.422  0.18
O  0.620  0.221  0.799  0.18
O  0.012  0.468  0.910  0.20
O  0.620  0.578  0.779  0.18
O  0.305  0.584  0.724  0.18
O  0.991  0.770  0.910  0.16
O  0.512  0.532  0.090  0.20
O  0.491  0.861  0.770  0.16
O  0.120  0.779  0.201  0.18
O  0.491  0.230  0.090  0.16
O  0.120  0.422  0.221  0.18
O  0.805  0.724  0.140  0.18
O  0.012  0.442  0.532  0.20
O  0.491  0.910  0.139  0.16
O  0.805  0.860  0.584  0.18
O  0.991  0.090  0.861  0.16
Fe  0.102  0.029  0.339  3.93
Fe  0.102  0.310  0.971  3.93
Fe  0.602  0.690  0.029  3.93
Fe  0.602  0.971  0.661  3.93
Fe  0.102  0.661  0.690  3.93
Fe  0.602  0.339  0.310  3.93
Si  0.983  0.358  0.318  0.03
Si  0.483  0.642  0.682  0.03
Si  0.983  0.682  0.040  0.03
Si  0.983  0.960  0.642  0.03
Si  0.483  0.318  0.960  0.03
Si  0.483  0.040  0.358  0.03
Li  0.728  0.667  0.333  0.00
Li  0.412  0.000  0.000  0.01
Li  0.912  0.000  0.000  0.01
Li  0.721  0.333  0.667  0.00
Li  0.221  0.667  0.333  0.00
Li  0.228  0.333  0.667  0.00

Results
Calculated volume (Å³/atom): 12.61
Formation energy from raw total energies (eV/atom): -2.04
Excess energy over the best structure of this formula in the dataset (meV/atom): 56

(6)
First-principles (GGA-PBEsol) data for a geometry-optimized Li2FeSi3O8 structure, as listed in Alexandria.

abc: 5.043 6.087 6.162
angles: 75.85 71.61 75.32
Last column: magnetic moment on the atom in μB.
Atoms (fractional coordinates):
Li  0.224  0.136  0.676  0.00
Li  0.749  0.855  0.351  0.00
O  0.653  0.542  0.435  0.06
O  0.936  0.162  0.247  0.01
O  0.295  0.332  0.862  0.07
O  0.491  0.939  0.107  0.01
O  0.372  0.289  0.306  0.00
O  0.563  0.890  0.664  0.06
O  0.016  0.875  0.813  0.07
O  0.716  0.540  0.987  0.00
Si  0.273  0.190  0.120  0.01
Si  0.668  0.392  0.251  0.01
Si  0.702  0.818  0.879  0.01
Fe  0.342  0.638  0.702  3.53

Results
Calculated volume (Å³/atom): 12.20
Formation energy from raw total energies (eV/atom): -2.34
Excess energy over the best structure of this formula in the dataset (meV/atom): 13

(7)
First-principles (GGA-PBEsol) data for a geometry-optimized LiFeSnO4 structure, as listed in Alexandria.

abc: 5.653 5.980 5.980
angles: 62.88 61.80 61.80
Last column: magnetic moment on the atom in μB.
Atoms (fractional coordinates):
O  0.276  0.230  0.730  -0.01
O  0.236  0.770  0.270  -0.01
O  0.743  0.220  0.294  0.00
O  0.257  0.206  0.280  0.00
O  0.257  0.780  0.706  0.00
O  0.743  0.794  0.720  0.00
O  0.764  0.230  0.730  -0.01
O  0.724  0.770  0.270  -0.01
Fe  0.000  0.000  0.500  1.00
Fe  0.500  0.000  0.500  1.00
Sn  0.500  0.500  0.500  0.00
Sn  0.500  0.000  0.000  0.00
Li  0.125  0.625  0.125  0.00
Li  0.875  0.375  0.875  0.00

Results
Calculated volume (Å³/atom): 10.70
Formation energy from raw total energies (eV/atom): -1.58

(8)
First-principles (GGA-PBEsol) data for a geometry-optimized Li2FeSnO4 structure, as listed in Alexandria.

abc: 5.949 6.118 6.118
angles: 91.13 119.09 119.09
Last column: magnetic moment on the atom in μB.
Atoms (fractional coordinates):
Fe  0.500  0.000  0.000  3.56
Fe  0.000  0.000  0.000  3.56
Li  0.500  0.500  0.500  0.01
Li  0.000  0.500  0.500  0.01
Li  0.000  0.000  0.500  0.00
Li  0.500  0.500  0.000  0.00
O  0.494  0.754  0.246  0.05
O  0.006  0.754  0.246  0.05
O  0.495  0.230  0.260  0.12
O  0.005  0.740  0.770  0.12
O  0.995  0.260  0.230  0.12
O  0.994  0.246  0.754  0.05
O  0.505  0.770  0.740  0.12
O  0.506  0.246  0.754  0.05
Sn  0.000  0.500  0.000  -0.02
Sn  0.500  0.000  0.500  -0.02

Results
Calculated volume (Å³/atom): 10.01
Formation energy from raw total energies (eV/atom): -1.59

(9)
First-principles (GGA-PBEsol) data for a geometry-optimized Li4Ti3Fe2Sn3O16 structure, as listed in Alexandria.

abc: 6.032 6.086 9.311
angles: 91.44 90.00 119.71
Last column: magnetic moment on the atom in μB.
Atoms (fractional coordinates):
O  0.965  0.454  0.839  0.00
O  0.005  0.009  0.320  0.00
O  0.658  0.825  0.602  3.74
O  0.654  0.307  0.599  -0.06
O  0.848  0.180  0.110  0.01
O  0.151  0.301  0.596  -0.06
O  0.829  0.658  0.092  -0.01
O  0.312  0.625  0.096  0.00
O  0.004  0.007  0.817  0.00
O  0.489  0.454  0.839  0.00
O  0.518  0.037  0.832  0.01
O  0.468  0.936  0.349  0.00
O  0.167  0.825  0.602  -0.01
O  0.030  0.526  0.351  0.01
O  0.332  0.180  0.110  0.00
O  0.496  0.526  0.351  0.01
Ti  0.174  0.347  0.255  0.05
Ti  0.329  0.152  0.707  0.01
Ti  0.823  0.152  0.707  0.00
Li  0.339  0.678  0.861  0.05
Li  0.659  0.319  0.394  0.08
Li  0.127  0.254  0.973  0.05
Li  0.978  0.956  0.501  0.08
Sn  0.167  0.832  0.199  0.00
Sn  0.665  0.832  0.199  0.00
Sn  0.823  0.646  0.724  0.00
Fe  0.654  0.309  0.995  0.00
Fe  0.324  0.649  0.477  0.07

Results
Calculated volume (Å³/atom): 10.60
Formation energy from raw total energies (eV/atom): -2.02

(10)
First-principles (GGA-PBEsol) data for a geometry-optimized Li3TiFe4O8 structure, as listed in Alexandria.

abc: 5.869 5.856 5.856
angles: 60.10 89.53 119.49
Last column: magnetic moment on the atom in μB.
Atoms (fractional coordinates):
Ti  0.000  0.500  0.500  -0.18
Fe  0.000  0.500  0.000  3.68
Fe  0.000  0.000  0.000  3.52
Fe  0.500  0.000  0.500  3.53
Fe  0.000  0.000  0.500  3.68
O  0.247  0.986  0.253  0.19
O  0.247  0.500  0.740  0.19
O  0.230  0.493  0.263  0.17
O  0.250  0.000  0.750  0.28
O  0.753  0.500  0.260  0.19
O  0.753  0.014  0.747  0.19
O  0.750  0.000  0.250  0.28
O  0.770  0.507  0.737  0.17
Li  0.500  0.500  0.000  0.00
Li  0.500  0.500  0.500  0.01
Li  0.500  0.000  0.000  0.01

Results
Calculated volume (Å³/atom): 8.94
Formation energy from raw total energies (eV/atom): -1.71

(11)
First-principles (GGA-PBEsol) data for a geometry-optimized Li3TiFe2O6 structure, as listed in Alexandria.

abc: 2.916 5.906 6.606
angles: 103.70 102.75 90.00
Last column: magnetic moment on the atom in μB.
Atoms (fractional coordinates):
O  0.500  0.726  0.000  0.07
O  0.157  0.588  0.314  0.16
O  0.836  0.921  0.671  0.33
O  0.500  0.274  0.000  0.07
O  0.843  0.412  0.686  0.16
O  0.164  0.079  0.329  0.33
Ti  0.000  0.500  0.000  0.04
Fe  0.673  0.846  0.347  3.78
Fe  0.327  0.154  0.653  3.78
Li  0.000  0.000  0.000  0.00
Li  0.669  0.333  0.338  0.01
Li  0.331  0.667  0.662  0.01

Results
Calculated volume (Å³/atom): 8.97
Formation energy from raw total energies (eV/atom): -1.98

(12)
First-principles (GGA-PBEsol) data for a geometry-optimized Li6TiFe5O12 structure, as listed in Alexandria.

abc: 4.797 4.796 9.858
angles: 85.35 80.67 59.99
Last column: magnetic moment on the atom in μB.
Atoms (fractional coordinates):
Ti  0.008  0.984  0.000  -0.12
O  0.037  0.342  0.886  0.01
O  0.959  0.656  0.119  0.00
O  0.538  0.665  0.390  0.01
O  0.385  0.656  0.881  0.00
O  0.869  0.000  0.388  0.01
O  0.695  0.003  0.883  0.01
O  0.302  0.003  0.117  0.01
O  0.622  0.342  0.114  0.01
O  0.204  0.334  0.391  0.01
O  0.131  0.000  0.612  0.01
O  0.798  0.665  0.610  0.01
O  0.462  0.334  0.609  0.01
Li  0.579  0.002  0.247  0.00
Li  0.916  0.336  0.246  0.00
Li  0.748  0.336  0.754  0.00
Li  0.419  0.002  0.753  0.00
Li  0.258  0.659  0.247  0.00
Li  0.082  0.659  0.753  0.00
Fe  0.331  0.338  0.000  0.49
Fe  0.665  0.670  0.000  0.48
Fe  0.835  0.330  0.500  1.03
Fe  0.501  0.998  0.500  1.03
Fe  0.165  0.670  0.500  1.03

Results
Calculated volume (Å³/atom): 8.07
Formation energy from raw total energies (eV/atom): -1.78

(13)
First-principles (GGA-PBEsol) data for a geometry-optimized Li2Ti3FeO8 structure, as listed in Alexandria.

abc: 5.856 5.902 5.902
angles: 60.00 59.74 59.74
Last column: magnetic moment on the atom in μB.
Atoms (fractional coordinates):
O  0.770  0.255  0.255  0.09
O  0.770  0.721  0.255  0.09
O  0.211  0.750  0.289  0.01
O  0.770  0.255  0.721  0.09
O  0.211  0.750  0.750  0.01
O  0.773  0.742  0.742  0.01
O  0.227  0.258  0.258  0.06
O  0.211  0.289  0.750  0.01
Ti  0.001  0.503  0.503  -0.04
Ti  0.001  0.993  0.503  -0.04
Ti  0.001  0.503  0.993  -0.04
Fe  0.643  0.119  0.119  3.56
Li  0.355  0.882  0.882  0.00
Li  0.495  0.502  0.502  0.00

Results
Calculated volume (Å³/atom): 10.26
Formation energy from raw total energies (eV/atom): -2.56
Excess energy over the best structure of this formula in the dataset (meV/atom): 0

(14)
First-principles (GGA-PBEsol) data for a geometry-optimized Li3Ti2Fe3O10 structure, as listed in Alexandria.

abc: 5.045 4.914 7.566
angles: 72.01 72.04 81.40
Last column: magnetic moment on the atom in μB.
Atoms (fractional coordinates):
O  0.221  0.347  0.044  -0.01
O  0.242  0.781  0.226  -0.04
O  0.775  0.878  0.536  0.00
O  0.211  0.974  0.862  -0.09
O  0.784  0.460  0.336  0.00
O  0.225  0.122  0.464  0.00
O  0.779  0.653  0.956  -0.01
O  0.758  0.219  0.774  -0.04
O  0.216  0.540  0.664  0.00
O  0.789  0.026  0.138  -0.09
Fe  0.017  0.693  0.097  1.00
Fe  0.500  0.000  0.000  -3.50
Fe  0.983  0.307  0.903  1.00
Li  0.000  0.500  0.500  0.00
Li  0.511  0.777  0.408  0.00
Li  0.489  0.223  0.592  0.00
Ti  0.998  0.132  0.304  -0.04
Ti  0.002  0.868  0.696  -0.04

Results
Calculated volume (Å³/atom): 9.41
Formation energy from raw total energies (eV/atom): -2.02